[1]
DFT (GGA-PBEsol) results for an optimized crystal structure of HfHgTe2.

**E_tot**: -5.040 eV per atom
**Total moment**: 0.000 μB/atom
**Theoretical density**: 7928 kg/m³
**Formation energy without anion corrections**: -0.510 eV per atom
**Space-group type**: R-3m (166)

a b c (Å): 3.828 3.828 10.697
angles (deg): 79.69 79.69 60.00
Fractional coordinates of all 4 atoms:
1 Te 0.891 0.891 0.328
2 Te 0.109 0.109 0.672
3 Hf 0.500 0.500 0.500
4 Hg 0.000 0.000 0.000

[2]
DFT (GGA-PBEsol) results for an optimized crystal structure of YHfTi2Hg.

**E_tot**: -5.476 eV per atom
**ΔH_f (0 K)**: 1431 meV/atom
**Total moment**: 0.248 μB/atom
**Theoretical density**: 8255 kg/m³
**Space-group type**: P4/mmm (123)

a b c (Å): 4.708 4.708 5.117
angles (deg): 90.00 90.00 90.00
Each line ends with the local moment (μB).
Fractional coordinates of all 5 atoms:
1 Y 0.000 0.000 0.000  0.09
2 Hf 0.000 0.000 0.500  0.07
3 Hg 0.500 0.500 0.500  0.00
4 Ti 0.000 0.500 0.000  0.43
5 Ti 0.500 0.000 0.000  0.43

[3]
DFT (GGA-PBEsol) results for an optimized crystal structure of HoHfRu2.

**E_tot**: -9.487 eV per atom
**ΔH_f (0 K)**: -538 meV/atom
**Total moment**: 0.000 μB/atom
**Theoretical density**: 13101 kg/m³
**Space-group type**: Fm-3m (225)

a b c (Å): 4.607 4.607 4.607
angles (deg): 60.00 60.00 60.00
Fractional coordinates of all 4 atoms:
1 Ru 0.250 0.250 0.250
2 Ru 0.750 0.750 0.750
3 Hf 0.500 0.500 0.500
4 Ho 0.000 0.000 0.000

[4]
DFT (GGA-PBEsol) results for an optimized crystal structure of HfI3.

**E_tot**: -4.810 eV per atom
**Total moment**: 0.000 μB/atom
**Theoretical density**: 6381 kg/m³
**Formation energy without anion corrections**: -0.859 eV per atom
**Space-group type**: P6_3/mcm (193)

a b c (Å): 6.352 7.274 7.274
angles (deg): 120.00 90.00 90.00
Fractional coordinates of all 8 atoms:
1 I 0.250 0.000 0.673
2 I 0.750 0.000 0.327
3 I 0.250 0.673 0.000
4 I 0.750 0.673 0.673
5 I 0.750 0.327 0.000
6 I 0.250 0.327 0.327
7 Hf 0.500 0.000 0.000
8 Hf 0.000 0.000 0.000

[5]
DFT (GGA-PBEsol) results for an optimized crystal structure of HfIrI2.

**E_tot**: -5.199 eV per atom
**Total moment**: 0.000 μB/atom
**Theoretical density**: 9119 kg/m³
**Formation energy without anion corrections**: 0.766 eV per atom
**Space-group type**: I-42d (122)

a b c (Å): 6.365 7.196 6.365
angles (deg): 63.75 90.00 116.25
Fractional coordinates of all 8 atoms:
1 I 0.099 0.750 0.875
2 I 0.651 0.750 0.375
3 I 0.375 0.250 0.099
4 I 0.875 0.250 0.651
5 Ir 0.750 0.500 0.750
6 Ir 0.000 0.000 0.000
7 Hf 0.250 0.500 0.250
8 Hf 0.500 0.000 0.500

[6]
DFT (GGA-PBEsol) results for an optimized crystal structure of HfIrI3.

**E_tot**: -4.120 eV per atom
**Total moment**: 0.529 μB/atom
**Theoretical density**: 7483 kg/m³
**Formation energy without anion corrections**: 1.006 eV per atom
**Space-group type**: Pm-3m (221)

a b c (Å): 5.504 5.504 5.504
angles (deg): 90.00 90.00 90.00
Each line ends with the local moment (μB).
Fractional coordinates of all 5 atoms:
1 I 0.000 0.500 0.000  0.03
2 I 0.000 0.000 0.500  0.03
3 I 0.500 0.000 0.000  0.03
4 Ir 0.500 0.500 0.500  2.24
5 Hf 0.000 0.000 0.000  0.00

[7]
DFT (GGA-PBEsol) results for an optimized crystal structure of Hf2IrI.

**E_tot**: -8.201 eV per atom
**Total moment**: 0.000 μB/atom
**Theoretical density**: 14484 kg/m³
**Formation energy without anion corrections**: -0.052 eV per atom
**Space-group type**: Fm-3m (225)

a b c (Å): 4.786 4.786 4.786
angles (deg): 60.00 60.00 60.00
Fractional coordinates of all 4 atoms:
1 I 0.000 0.000 0.000
2 Ir 0.500 0.500 0.500
3 Hf 0.250 0.250 0.250
4 Hf 0.750 0.750 0.750

[8]
DFT (GGA-PBEsol) results for an optimized crystal structure of HfIrIN2.

**E_tot**: -6.818 eV per atom
**Total moment**: 0.359 μB/atom
**Theoretical density**: 9156 kg/m³
**Formation energy without anion corrections**: 1.011 eV per atom
**Space-group type**: P4/mmm (123)

a b c (Å): 3.998 3.998 5.963
angles (deg): 90.00 90.00 90.00
Each line ends with the local moment (μB).
Fractional coordinates of all 5 atoms:
1 I 0.000 0.000 0.500  0.02
2 Ir 0.500 0.500 0.500  1.04
3 Hf 0.000 0.000 0.000  0.05
4 N 0.000 0.500 0.000  0.23
5 N 0.500 0.000 0.000  0.23

[9]
DFT (GGA-PBEsol) results for an optimized crystal structure of HfIrPt2I.

**E_tot**: -6.030 eV per atom
**Total moment**: 0.000 μB/atom
**Theoretical density**: 12771 kg/m³
**Formation energy without anion corrections**: 1.174 eV per atom
**Space-group type**: P4/mmm (123)

a b c (Å): 4.825 4.825 4.959
angles (deg): 90.00 90.00 90.00
Fractional coordinates of all 5 atoms:
1 I 0.000 0.000 0.500
2 Ir 0.000 0.000 0.000
3 Hf 0.500 0.500 0.500
4 Pt 0.000 0.500 0.000
5 Pt 0.500 0.000 0.000

[10]
DFT (GGA-PBEsol) results for an optimized crystal structure of HfSb2IrI.

**E_tot**: -4.953 eV per atom
**Total moment**: 0.317 μB/atom
**Theoretical density**: 7974 kg/m³
**Formation energy without anion corrections**: 1.288 eV per atom
**Space-group type**: P4/mmm (123)

a b c (Å): 5.271 5.411 5.411
angles (deg): 90.00 90.00 90.00
Each line ends with the local moment (μB).
Fractional coordinates of all 5 atoms:
1 I 0.500 0.000 0.000  0.03
2 Sb 0.000 0.000 0.500  -0.03
3 Sb 0.000 0.500 0.000  -0.03
4 Ir 0.500 0.500 0.500  1.42
5 Hf 0.000 0.000 0.000  0.10

[11]
DFT (GGA-PBEsol) results for an optimized crystal structure of HfTe2IrI.

**E_tot**: -4.766 eV per atom
**Total moment**: 0.512 μB/atom
**Theoretical density**: 7862 kg/m³
**Formation energy without anion corrections**: 1.063 eV per atom
**Space-group type**: P4/mmm (123)

a b c (Å): 5.430 5.430 5.392
angles (deg): 90.00 90.00 90.00
Each line ends with the local moment (μB).
Fractional coordinates of all 5 atoms:
1 I 0.000 0.000 0.500  0.08
2 Te 0.000 0.500 0.000  0.06
3 Te 0.500 0.000 0.000  0.06
4 Ir 0.500 0.500 0.500  1.99
5 Hf 0.000 0.000 0.000  0.07

[12]
DFT (GGA-PBEsol) results for an optimized crystal structure of KHf2I.

**E_tot**: -4.865 eV per atom
**Total moment**: 0.000 μB/atom
**Theoretical density**: 8808 kg/m³
**Formation energy without anion corrections**: 1.112 eV per atom
**Space-group type**: Fm-3m (225)

a b c (Å): 5.186 5.186 5.186
angles (deg): 60.00 60.00 60.00
Fractional coordinates of all 4 atoms:
1 I 0.500 0.500 0.500
2 K 0.000 0.000 0.000
3 Hf 0.250 0.250 0.250
4 Hf 0.750 0.750 0.750

Among the records above, which one has the lowest E_tot? HoHfRu2